CaCdC | PBE | relaxed

The structure in CIF format:
```
data_CaCdC
_chemical_formula_sum 'Ca2 Cd2 C2'
_cell_length_a 3.9588
_cell_length_b 3.3239
_cell_length_c 8.9950
_cell_angle_alpha 90.03
_cell_angle_beta 90.00
_cell_angle_gamma 90.00
_space_group_name_H-M_alt 'P 1'
_space_group_IT_number 1
loop_
_space_group_symop_operation_xyz
'x,y,z'
loop_
_atom_site_label
_atom_site_fract_x
_atom_site_fract_y
_atom_site_fract_z
Cd1 0.2843 0.0809 0.7830
Cd2 0.7843 0.5816 0.9826
C1 0.7843 0.5812 0.2293
C2 0.2843 0.0809 0.5363
Ca1 0.2843 0.0812 0.2453
Ca2 0.7843 0.5808 0.5203
```

Computed properties:
Space group: Pmmn, No. 59
ΔE_f, eV/atom: 0.602
Total moment, μB/cell: 0.0